Run one
Entry from Alexandria: a relaxed structure of CoCuIr2 (PBE).

```
4
Lattice="-4.1021 -1.5482 -1.0451 0.0827 -4.4778 0.5092 1.2569 3.2887 2.8145" Properties=species:S:1:pos:R:3 pbc="T T T"
Co -0.3351 -2.1010 1.5279
Ir -2.0097 -3.0130 -0.2679
Cu -2.4275 -0.6362 0.7507
Ir 0.0000 0.0000 0.0000
```

Output
* mass density: 16.259 Mg/m³
* density of states at the Fermi level: 3.6 states/eV per cell


Run two
Entry from Alexandria: a relaxed structure of CoCuIr2 (PBE).

```
4
Lattice="-3.1434 1.6983 2.9043 -4.2659 1.6734 0.4503 -2.2036 -3.7699 1.0462" Properties=species:S:1:pos:R:3 pbc="T T T"
Cu -2.4171 -0.1446 1.1070
Co -4.7647 -0.1846 2.1812
Ir -2.2111 -3.7302 1.0492
Ir -7.2300 -0.3079 3.3100
```

Output
* mass density: 16.042 Mg/m³
* density of states at the Fermi level: 6.3 states/eV per cell


Run three
Entry from Alexandria: a relaxed structure of CoCuIr2 (PBE).

```
4
Lattice="4.6053 0.0163 0.0000 1.6237 4.3096 0.0000 -3.1145 -2.1630 2.6135" Properties=species:S:1:pos:R:3 pbc="T T T"
Cu 2.3027 0.0082 1.3068
Co 3.1145 2.1630 0.0000
Ir 0.0000 0.0000 0.0000
Ir 0.8119 2.1548 1.3068
```

Output
* mass density: 16.250 Mg/m³
* density of states at the Fermi level: 5.4 states/eV per cell


Run four
Entry from Alexandria: a relaxed structure of CoCuIr2 (PBE).

```
4
Lattice="2.6591 0.0116 0.0000 -1.3068 2.3159 0.0000 0.0000 0.0000 8.8625" Properties=species:S:1:pos:R:3 pbc="T T T"
Ir 0.6762 1.1637 2.3153
Ir 0.0000 0.0000 8.8121
Co 0.0000 0.0000 4.4655
Cu 0.6762 1.1637 6.5633
```

Output
* mass density: 15.386 Mg/m³
* density of states at the Fermi level: 6.8 states/eV per cell


Energy relative to the most stable one, in meV per atom: run one 37; run two 7; run three 0; run four 193


Run one
Entry from Alexandria: a relaxed structure of Co2CuIr2 (PBE).

```
10
Lattice="-3.9946 3.2352 -5.0284 -5.9511 -1.5650 3.7207 0.2143 2.3028 1.3114" Properties=species:S:1:pos:R:3 pbc="T T T"
Co -4.5268 0.6474 2.2980
Cu 0.0000 0.0000 0.0000
Co -2.2164 1.9686 -0.3996
Co -7.5150 2.0045 0.4032
Ir -7.2268 1.8230 -2.0203
Co -5.2045 3.3256 -2.2943
Ir -3.3020 1.8367 -2.6857
Cu -4.9728 0.8351 -0.6539
Ir -2.7189 -0.1528 0.7126
Ir -6.6437 -0.1665 1.3780
```

Output
* mass density: 13.670 Mg/m³
* density of states at the Fermi level: 11.7 states/eV per cell


Run two
Entry from Alexandria: a relaxed structure of Co2CuIr2 (PBE).

```
10
Lattice="7.1376 0.0000 0.0000 0.0000 7.1376 0.0000 0.0000 0.0000 2.6468" Properties=species:S:1:pos:R:3 pbc="T T T"
Co 6.2671 4.4392 0.0000
Co 4.4392 0.8704 0.0000
Ir 1.2351 4.8039 1.3234
Ir 2.3336 1.2351 1.3234
Cu 3.5688 3.5688 0.0000
Cu 0.0000 0.0000 0.0000
Co 2.6983 6.2671 0.0000
Co 0.8704 2.6983 0.0000
Ir 5.9024 2.3336 1.3234
Ir 4.8039 5.9024 1.3234
```

Output
* mass density: 13.936 Mg/m³
* density of states at the Fermi level: 11.3 states/eV per cell


Energy relative to the most stable one, in meV per atom: run one 17; run two 0


Run one
Entry from Alexandria: a relaxed structure of KCoCu2 (PBE).

```
4
Lattice="4.5944 0.0000 0.0000 2.2972 3.9788 0.0000 2.2972 1.3263 3.7513" Properties=species:S:1:pos:R:3 pbc="T T T"
Cu 0.0000 0.0000 0.0000
K 6.8916 3.9788 2.8135
Co 4.5944 2.6526 1.8756
Cu 2.2972 1.3263 0.9378
```

Output
* mass density: 5.451 Mg/m³
* density of states at the Fermi level: 8.3 states/eV per cell


Run two
Entry from Alexandria: a relaxed structure of KCoCu2 (PBE).

```
4
Lattice="-2.5519 -0.0536 0.5876 1.1525 -0.3211 4.9759 -0.0294 5.0246 0.3310" Properties=species:S:1:pos:R:3 pbc="T T T"
Cu 0.0000 0.0000 0.0000
K -1.2906 2.4855 0.4593
Co 0.5616 2.3518 2.6535
Cu -0.6997 -0.1874 2.7818
```

Output
* mass density: 5.538 Mg/m³
* density of states at the Fermi level: 3.7 states/eV per cell


Run three
Entry from Alexandria: a relaxed structure of KCoCu2 (PBE).

```
4
Lattice="-2.1871 1.5457 -3.3930 -1.1407 -0.8513 -4.0815 -5.9002 -3.0540 1.6648" Properties=species:S:1:pos:R:3 pbc="T T T"
Cu -4.0596 -0.8511 -3.2063
K -6.9211 -1.7697 -4.3572
Cu -3.8824 0.3657 -7.1730
Co -2.3070 -0.5899 -1.4524
```

Output
* mass density: 4.935 Mg/m³
* density of states at the Fermi level: 3.8 states/eV per cell


Energy relative to the most stable one, in meV per atom: run one 526; run two 416; run three 0